Entry 1:
10
Lattice="8.6566 0.0000 0.0000 0.0000 8.6566 0.0000 0.0000 0.0000 4.3237" Properties=species:S:1:pos:R:3 comment="SrLa2Sb2 (GGA-PBEsol, optimized geometry)" magmom_total_mub_per_cell=0.00 space_group="P4/mbm (127)" final_energy_ev_per_atom=-5.375 e_form_raw_ev_per_atom=-1.0456 pbc="T T T"
Sr 0.0000 0.0000 0.0000
Sr 4.3283 4.3283 0.0000
La 1.3064 3.0219 2.1619
La 3.0219 7.3503 2.1619
La 5.6347 1.3064 2.1619
La 7.3503 5.6347 2.1619
Sb 1.2900 5.6183 0.0000
Sb 3.0383 1.2900 0.0000
Sb 5.6183 7.3666 0.0000
Sb 7.3666 3.0383 0.0000


Entry 2:
4
Lattice="0.0000 3.5186 3.5186 3.5186 0.0000 3.5186 3.5186 3.5186 0.0000" Properties=species:S:1:pos:R:3 comment="LaTa2Sb (GGA-PBEsol, optimized geometry)" magmom_total_mub_per_cell=0.00 space_group="F-43m (216)" final_energy_ev_per_atom=-8.435 e_form_raw_ev_per_atom=0.3161 pbc="T T T"
La 0.0000 0.0000 0.0000
Ta 1.7593 1.7593 1.7593
Ta 3.5186 3.5186 3.5186
Sb 5.2780 5.2780 5.2780


Entry 3:
4
Lattice="-2.3084 2.3084 4.7465 2.3084 -2.3084 4.7465 2.3084 2.3084 -4.7465" Properties=species:S:1:pos:R:3 comment="La2TaSb (GGA-PBEsol, optimized geometry)" magmom_total_mub_per_cell=0.00 space_group="I-4m2 (119)" final_energy_ev_per_atom=-6.986 e_form_raw_ev_per_atom=-0.0353 pbc="T T T"
La 0.0000 0.0000 0.0000
La 0.0000 2.3084 2.3733
Ta 2.3084 0.0000 2.3733
Sb 0.0000 0.0000 4.7465


Entry 4:
5
Lattice="5.0735 0.0000 0.0000 0.0000 5.0735 0.0000 0.0000 0.0000 5.0735" Properties=species:S:1:pos:R:3 comment="LaTa3Sb (GGA-PBEsol, optimized geometry)" magmom_total_mub_per_cell=0.00 space_group="Pm-3m (221)" final_energy_ev_per_atom=-8.145 e_form_raw_ev_per_atom=1.3659 pbc="T T T"
La 0.0000 0.0000 0.0000
Ta 0.0000 2.5368 2.5368
Ta 2.5368 0.0000 2.5368
Ta 2.5368 2.5368 0.0000
Sb 2.5368 2.5368 2.5368


Entry 5:
4
Lattice="1.7808 -2.5507 0.0000 1.7808 2.5507 0.0000 0.0000 0.0000 9.5047" Properties=species:S:1:pos:R:3 comment="LaTa2Sb (GGA-PBEsol, optimized geometry)" magmom_total_mub_per_cell=0.00 space_group="Cmmm (65)" final_energy_ev_per_atom=-8.329 e_form_raw_ev_per_atom=0.4224 pbc="T T T"
La 0.0000 0.0000 0.0000
Ta 1.7808 0.0000 2.6205
Ta 1.7808 0.0000 6.8842
Sb 0.0000 0.0000 4.7523


Entry 6:
5
Lattice="5.3332 0.0000 0.0000 0.0000 5.3332 0.0000 0.0000 0.0000 5.3490" Properties=species:S:1:pos:R:3 comment="LaTaSbTe2 (GGA-PBEsol, optimized geometry)" magmom_total_mub_per_cell=0.00 space_group="P4/mmm (123)" final_energy_ev_per_atom=-6.125 e_form_raw_ev_per_atom=-0.2234 pbc="T T T"
La 0.0000 0.0000 0.0000
Ta 2.6666 2.6666 2.6745
Sb 2.6666 2.6666 0.0000
Te 0.0000 2.6666 2.6745
Te 2.6666 0.0000 2.6745


Entry 7:
4
Lattice="-1.9621 1.9621 4.9551 1.9621 -1.9621 4.9551 1.9621 1.9621 -4.9551" Properties=species:S:1:pos:R:3 comment="LaTc2Sb (GGA-PBEsol, optimized geometry)" magmom_total_mub_per_cell=0.75 space_group="I-4m2 (119)" final_energy_ev_per_atom=-7.788 e_form_raw_ev_per_atom=0.3213 pbc="T T T"
La 0.0000 0.0000 0.0000
Tc 1.9621 0.0000 2.4776
Tc 0.0000 0.0000 4.9551
Sb 0.0000 1.9621 2.4776


Entry 8:
4
Lattice="1.6646 0.9611 8.1982 -1.6646 0.9611 8.1982 0.0000 -1.9221 8.1982" Properties=species:S:1:pos:R:3 comment="LaTc2Sb (GGA-PBEsol, optimized geometry)" magmom_total_mub_per_cell=0.00 space_group="R-3m (166)" final_energy_ev_per_atom=-7.603 e_form_raw_ev_per_atom=0.5060 pbc="T T T"
La 0.0000 0.0000 0.0000
Tc 0.0000 0.0000 5.9819
Tc 0.0000 0.0000 18.6127
Sb 0.0000 0.0000 12.2973